Version one
First-principles (PBE) data for a relaxed MnCuTc2 crystal, as listed in Alexandria via LeMat-Bulk.

abc: 2.6599 2.6599 25.9870
angles: 90.00 90.00 120.00
Space group R-3m (No. 166, hexagonal axes)
One atom of each set of equivalent atoms:
Mn1 0.0000 0.0000 0.0000 x3
Cu1 0.0000 0.0000 0.5000 x3
Tc1 0.0000 0.0000 0.2536 x6

Results
* DOS(E_F): 4.52 states/eV/f.u.
* total moment: 0.67 μB per cell

Version two
First-principles (PBE) data for a relaxed MnCuTc2 crystal, as listed in Alexandria via LeMat-Bulk.

abc: 8.8412 2.7174 4.6019
angles: 90.00 101.57 90.00
Space group C2/m (No. 12)
One atom of each set of equivalent atoms:
Mn1 0.0000 0.0000 0.0000 x2
Cu1 0.0000 0.5000 0.5000 x2
Tc1 0.2438 0.5000 0.2463 x4

Results
* DOS(E_F): 4.17 states/eV/f.u.
* total moment: 4.05 μB per cell

The data favor version one; the next most stable structure lies 19 meV/atom above it.

Version one
First-principles (PBE) data for a relaxed Mn2CuTc2 crystal, as listed in Alexandria via LeMat-Bulk.

abc: 3.9703 3.9703 9.2939
angles: 90.00 90.00 90.00
Space group I4/mmm (No. 139)
One atom of each set of equivalent atoms:
Mn1 0.0000 0.0000 0.1125 x4
Cu1 0.0000 0.0000 0.5000 x2
Tc1 0.0000 0.5000 0.2500 x4

Results
* DOS(E_F): 6.07 states/eV/f.u.
* total moment: 0.00 μB per cell

Version two
First-principles (PBE) data for a relaxed Mn2CuTc2 crystal, as listed in Alexandria via LeMat-Bulk.

abc: 6.9787 6.9787 2.7153
angles: 90.00 90.00 90.00
Space group P4/mbm (No. 127)
One atom of each set of equivalent atoms:
Mn1 0.1305 0.3695 0.0000 x4
Cu1 0.0000 0.0000 0.0000 x2
Tc1 0.1656 0.6656 0.5000 x4

Results
* DOS(E_F): 4.92 states/eV/f.u.
* total moment: 0.00 μB per cell

The data favor version two; the next most stable structure lies 267 meV/atom above it.

Version one
First-principles (PBE) data for a relaxed MnCuTe crystal, as listed in Alexandria via LeMat-Bulk.

abc: 6.1691 6.1691 6.1691
angles: 90.00 90.00 90.00
Space group F-43m (No. 216)
One atom of each set of equivalent atoms:
Mn1 0.0000 0.0000 0.0000 x4
Cu1 0.2500 0.2500 0.2500 x4
Te1 0.2500 0.2500 0.7500 x4

Results
* DOS(E_F): 2.28 states/eV/f.u.
* total moment: 15.21 μB per cell

Version two
First-principles (PBE) data for a relaxed MnCuTe crystal, as listed in Alexandria via LeMat-Bulk.

abc: 3.5136 3.9509 8.4804
angles: 103.42 90.64 90.00
Space group P-1 (No. 2)
One atom of each set of equivalent atoms:
Mn1 0.2199 0.0406 0.0810 x2
Cu1 0.2700 0.4421 0.8834 x2
Te1 0.2365 0.8395 0.6773 x2

Results
* DOS(E_F): 2.14 states/eV/f.u.
* total moment: 0.00 μB per cell

Version three
First-principles (PBE) data for a relaxed MnCuTe crystal, as listed in Alexandria via LeMat-Bulk.

abc: 4.0565 4.0565 4.0525
angles: 90.00 90.00 120.00
Space group P3m1 (No. 156)
One atom of each set of equivalent atoms:
Mn1 0.0000 0.0000 0.0000 x1
Cu1 0.3333 0.6667 0.7274 x1
Te1 0.6667 0.3333 0.4139 x1

Results
* DOS(E_F): 0.97 states/eV/f.u.
* total moment: 4.14 μB per cell

Version four
First-principles (PBE) data for a relaxed MnCuTe crystal, as listed in Alexandria via LeMat-Bulk.

abc: 3.7201 3.7201 7.8696
angles: 90.00 90.00 90.00
Space group I4mm (No. 107)
One atom of each set of equivalent atoms:
Mn1 0.0000 0.0000 0.0000 x2
Cu1 0.0000 0.0000 0.3268 x2
Te1 0.0000 0.0000 0.6549 x2

Results
* DOS(E_F): 1.39 states/eV/f.u.
* total moment: 7.66 μB per cell

The data favor version one; the next most stable structure lies 25 meV/atom above it.

Version one
First-principles (PBE) data for a relaxed MnCu2Te4 crystal, as listed in Alexandria via LeMat-Bulk.

abc: 11.1848 11.1848 11.1848
angles: 90.00 90.00 90.00
Space group Fd-3m (No. 227, origin choice 2)
One atom of each set of equivalent atoms:
Mn1 0.1250 0.1250 0.1250 x8
Cu1 0.0000 0.0000 0.5000 x16
Te1 0.0074 0.0074 0.7426 x32

Results
* DOS(E_F): 5.63 states/eV/f.u.
* total moment: 18.67 μB per cell

Version two
First-principles (PBE) data for a relaxed MnCu2Te4 crystal, as listed in Alexandria via LeMat-Bulk.

abc: 7.7558 7.8012 11.4124
angles: 90.00 90.00 90.00
Space group Imma (No. 74)
One atom of each set of equivalent atoms:
Mn1 0.2500 0.2500 0.2500 x4
Cu1 0.0000 0.0000 0.0000 x4
Cu2 0.0000 0.2500 0.6143 x4
Te1 0.0000 0.0145 0.2496 x8
Te2 0.2320 0.2500 0.0160 x8

Results
* DOS(E_F): 4.14 states/eV/f.u.
* total moment: 10.06 μB per cell

The data favor version two; the next most stable structure lies 110 meV/atom above it.

Version one
First-principles (PBE) data for a relaxed MnCuTe4 crystal, as listed in Alexandria via LeMat-Bulk.

abc: 8.8916 8.8916 8.8916
angles: 90.00 90.00 90.00
Space group F-43m (No. 216)
One atom of each set of equivalent atoms:
Mn1 0.0000 0.0000 0.0000 x4
Cu1 0.2500 0.2500 0.2500 x4
Te1 0.1248 0.1248 0.6248 x16

Results
* DOS(E_F): 3.36 states/eV/f.u.
* total moment: 19.71 μB per cell

Version two
First-principles (PBE) data for a relaxed MnCuTe4 crystal, as listed in Alexandria via LeMat-Bulk.

abc: 5.5659 3.9468 7.0916
angles: 90.00 90.76 90.00
Space group P2/m (No. 10)
One atom of each set of equivalent atoms:
Mn1 0.0000 0.0000 0.0000 x1
Cu1 0.0000 0.5000 0.5000 x1
Te1 0.2178 0.0000 0.3326 x2
Te2 0.2854 0.5000 0.8710 x2

Results
* DOS(E_F): 3.10 states/eV/f.u.
* total moment: 2.60 μB per cell

The data favor version two; the next most stable structure lies 964 meV/atom above it.

Version one
First-principles (PBE) data for a relaxed Mn2CuTe4 crystal, as listed in Alexandria via LeMat-Bulk.

abc: 7.3317 7.3317 7.8003
angles: 90.00 90.00 90.00
Space group I4/m (No. 87)
One atom of each set of equivalent atoms:
Mn1 0.0000 0.5000 0.2500 x4
Cu1 0.0000 0.0000 0.0000 x2
Te1 0.1691 0.3121 0.0000 x8

Results
* DOS(E_F): 3.84 states/eV/f.u.
* total moment: 15.75 μB per cell

Version two
First-principles (PBE) data for a relaxed Mn2CuTe4 crystal, as listed in Alexandria via LeMat-Bulk.

abc: 13.8045 7.9506 13.8116
angles: 90.00 109.69 90.00
Space group C2/c (No. 15)
One atom of each set of equivalent atoms:
Mn1 0.0000 0.0000 0.0000 x4
Mn2 0.0000 0.2494 0.2500 x4
Mn3 0.0000 0.5000 0.0000 x4
Mn4 0.2500 0.2500 0.5000 x4
Cu1 0.1874 0.2507 0.8126 x8
Te1 0.1150 0.2498 0.1219 x8
Te2 0.1214 0.4866 0.3787 x8
Te3 0.1216 0.0125 0.3789 x8
Te4 0.1221 0.2500 0.6152 x8

Results
* DOS(E_F): 3.15 states/eV/f.u.
* total moment: 55.69 μB per cell

The data favor version two; the next most stable structure lies 225 meV/atom above it.